*a*
A plane-wave DFT calculation with PBE was carried out for a relaxed PmPrGeBr crystal.

a b c (Å): 5.274 5.274 5.274
angles (deg): 60.00 60.00 60.00
Atoms (fractional coordinates):
Pm  0.000  0.000  0.000
Pr  0.500  0.500  0.500
Ge  0.750  0.750  0.750
Br  0.250  0.250  0.250

Values from the calculation:
Its crystal system is cubic. For the calculated volume, the calculation gives 25.94 A^3/atom. The size of the total moment is 0.00 μB per cell. As for the density of states at the Fermi level: 3.15 states/eV/f.u.



*b*
A plane-wave DFT calculation with PBE was carried out for a relaxed PmPrGeBr crystal.

a b c (Å): 5.961 5.134 5.134
angles (deg): 59.51 90.00 90.00
Atoms (fractional coordinates):
Pm  0.000  0.000  0.000
Pr  0.500  0.332  0.332
Ge  0.000  0.332  0.332
Br  0.500  0.000  0.000

Values from the calculation:
Its crystal system is orthorhombic. For the calculated volume, the calculation gives 33.84 A^3/atom. The size of the total moment is 0.00 μB per cell. As for the density of states at the Fermi level: 1.64 states/eV/f.u.



Least stable of them? *b*.



*a*
A plane-wave DFT calculation with PBE was carried out for a relaxed Ge3PtBr crystal.

a b c (Å): 4.979 4.979 4.979
angles (deg): 90.00 90.00 90.00
Atoms (fractional coordinates):
Ge  0.000  0.000  0.500
Ge  0.000  0.500  0.000
Ge  0.500  0.000  0.000
Pt  0.000  0.000  0.000
Br  0.500  0.500  0.500

Values from the calculation:
Its crystal system is cubic. For the calculated volume, the calculation gives 24.68 A^3/atom. The size of the total moment is 0.00 μB per cell. As for the density of states at the Fermi level: 3.67 states/eV/f.u.



*b*
A plane-wave DFT calculation with PBE was carried out for a relaxed Ge3PtBr crystal.

a b c (Å): 5.035 5.035 5.035
angles (deg): 90.00 90.00 90.00
Atoms (fractional coordinates):
Ge  0.000  0.000  0.500
Ge  0.000  0.500  0.000
Ge  0.500  0.000  0.000
Pt  0.500  0.500  0.500
Br  0.000  0.000  0.000

Values from the calculation:
Its crystal system is cubic. For the calculated volume, the calculation gives 25.53 A^3/atom. The size of the total moment is 0.00 μB per cell. As for the density of states at the Fermi level: 4.19 states/eV/f.u.



Least stable of them? *b*.



*a*
A plane-wave DFT calculation with PBE was carried out for a relaxed GePt2Br crystal.

a b c (Å): 4.632 4.632 4.632
angles (deg): 60.00 60.00 60.00
Atoms (fractional coordinates):
Ge  0.000  0.000  0.000
Pt  0.250  0.250  0.250
Pt  0.750  0.750  0.750
Br  0.500  0.500  0.500

Values from the calculation:
Its crystal system is cubic. For the calculated volume, the calculation gives 17.56 A^3/atom. The size of the total moment is 0.00 μB per cell. As for the density of states at the Fermi level: 1.26 states/eV/f.u.



*b*
A plane-wave DFT calculation with PBE was carried out for a relaxed GePt2Br crystal.

a b c (Å): 6.308 6.308 6.308
angles (deg): 118.59 118.59 92.46
Atoms (fractional coordinates):
Ge  0.000  0.000  0.000
Ge  0.750  0.250  0.500
Pt  0.093  0.625  0.968
Pt  0.375  0.343  0.468
Pt  0.657  0.125  0.032
Pt  0.875  0.907  0.532
Br  0.250  0.750  0.500
Br  0.500  0.500  0.000

Values from the calculation:
Its crystal system is tetragonal. For the calculated volume, the calculation gives 22.64 A^3/atom. The size of the total moment is 0.00 μB per cell. As for the density of states at the Fermi level: 3.51 states/eV/f.u.



Least stable of them? *a*.



*a*
A plane-wave DFT calculation with PBE was carried out for a relaxed Ge2PtBr crystal.

a b c (Å): 7.649 7.649 7.649
angles (deg): 134.04 134.04 67.03
Atoms (fractional coordinates):
Ge  0.040  0.625  0.915
Ge  0.375  0.290  0.415
Ge  0.710  0.125  0.085
Ge  0.875  0.960  0.585
Pt  0.000  0.000  0.000
Pt  0.750  0.250  0.500
Br  0.250  0.750  0.500
Br  0.500  0.500  0.000

Values from the calculation:
Its crystal system is tetragonal. For the calculated volume, the calculation gives 28.44 A^3/atom. The size of the total moment is 0.00 μB per cell. As for the density of states at the Fermi level: 1.41 states/eV/f.u.



*b*
A plane-wave DFT calculation with PBE was carried out for a relaxed Ge2PtBr crystal.

a b c (Å): 4.789 4.789 4.789
angles (deg): 60.00 60.00 60.00
Atoms (fractional coordinates):
Ge  0.250  0.250  0.250
Ge  0.750  0.750  0.750
Pt  0.000  0.000  0.000
Br  0.500  0.500  0.500

Values from the calculation:
Its crystal system is cubic. For the calculated volume, the calculation gives 19.41 A^3/atom. The size of the total moment is 0.00 μB per cell. As for the density of states at the Fermi level: 2.96 states/eV/f.u.



Least stable of them? *b*.